(1)
Material: Re2TeW
Method: DFT, GGA-PBEsol
State: relaxed

Calculated values
* energy relative to the elements, uncorrected: 0.679 eV/atom
* calculated total energy: -41.28 eV per formula unit
* SG: Pmmm

Cell lengths 3.0144, 4.0865, 5.3321 Å; angles 90.00, 90.00, 90.00 degrees
Closest atoms and distances in Å follow each position.
Element x y z (fractional)
Re 0.0000 0.0000 0.7348  1 Re 2.50
Re 0.0000 0.0000 0.2652  1 Re 2.50
Te 0.5000 0.5000 0.0000  2 W 2.67, 8 Re 2.91
W 0.5000 0.5000 0.5000  2 Te 2.67, 8 Re 2.83

***

(2)
Material: Cr2WCl
Method: DFT, GGA-PBEsol
State: relaxed

Calculated values
* energy relative to the elements, uncorrected: 0.971 eV/atom
* calculated total energy: -32.41 eV per formula unit
* SG: I-4m2
* energy above the lowest structure with this stoichiometry: 442 meV per atom

Cell lengths 3.4839, 3.4839, 5.0961 Å; angles 109.99, 109.99, 90.00 degrees
Closest atoms and distances in Å follow each position.
Element x y z (fractional)
Cr 0.0000 0.0000 0.0000  4 W 2.46
Cr 0.7500 0.2500 0.5000  4 Cl 2.46
W 0.5000 0.5000 0.0000  4 Cr 2.46
Cl 0.2500 0.7500 0.5000  4 Cr 2.46

***

(3)
Material: YC3
Method: DFT, GGA-PBEsol
State: relaxed

Calculated values
* calculated total energy: -30.89 eV per formula unit
* SG: P4mm

Cell lengths 3.1376, 3.1379, 4.0022 Å; angles 90.00, 90.00, 90.00 degrees
Closest atoms and distances in Å follow each position.
Element x y z (fractional)
Y 0.5000 0.0000 0.6694  12 C 2.50-2.59
C 0.0000 0.0000 0.1558  2 C 1.76
C 0.0000 0.5000 0.3524  4 C 1.75-1.76
C 0.5000 0.5000 0.1558  2 C 1.75

***

(4)
Material: LiEu2Si3
Method: DFT, GGA-PBEsol
State: relaxed

Calculated values
* energy relative to the elements, uncorrected: -0.591 eV/atom
* calculated total energy: -43.88 eV per formula unit
* SG: C2/m

Cell lengths 4.4145, 7.6947, 7.8855 Å; angles 104.05, 106.25, 90.00 degrees
Closest atoms and distances in Å follow each position.
Element x y z (fractional)
Eu 0.3773 0.0645 0.7546  9 Si 3.12-3.30, 3 Li 3.31-3.45
Eu 0.6107 0.4298 0.2214  3 Li 3.02-3.09, 9 Si 3.08-3.23
Eu 0.6227 0.9355 0.2454  9 Si 3.12-3.30, 3 Li 3.31-3.45
Eu 0.3893 0.5702 0.7786  3 Li 3.02-3.09, 9 Si 3.08-3.23
Si 0.2058 0.7123 0.4116  1 Si 2.33, 2 Li 2.52
Si 0.0450 0.1467 0.0899  2 Si 2.32-2.34, 1 Li 2.49
Si 0.9550 0.8533 0.9101  2 Si 2.32-2.34, 1 Li 2.49
Si 0.0469 0.6496 0.0938  3 Si 2.33-2.38
Si 0.7942 0.2877 0.5884  1 Si 2.33, 2 Li 2.52
Si 0.9531 0.3504 0.9062  3 Si 2.33-2.38
Li 0.7869 0.7215 0.5739  3 Si 2.49-2.52
Li 0.2131 0.2785 0.4261  3 Si 2.49-2.52

***

(5)
Material: Ni2Pt
Method: DFT, GGA-PBEsol
State: relaxed

Calculated values
* calculated total energy: -19.33 eV per formula unit
* SG: Pm

Cell lengths 2.6368, 7.5710, 7.7528 Å; angles 109.93, 90.00, 90.00 degrees
Closest atoms and distances in Å follow each position.
Element x y z (fractional)
Ni 0.0000 0.9964 0.0007  6 Pt 2.48-2.64, 6 Ni 2.60-2.64
Ni 0.5000 0.7388 0.0815  9 Ni 2.50-2.64, 3 Pt 2.56-2.57
Ni 0.0000 0.5092 0.1790  10 Ni 2.42-2.64, 2 Pt 2.53
Ni 0.5000 0.2611 0.2559  9 Ni 2.45-2.64, 3 Pt 2.51-2.57
Ni 0.5000 0.7404 0.4095  7 Ni 2.42-2.64, 5 Pt 2.62-2.65
Ni 0.0000 0.4942 0.4912  10 Ni 2.45-2.66, 2 Pt 2.56
Ni 0.5000 0.2634 0.5811  7 Ni 2.47-2.64, 5 Pt 2.62-2.73
Ni 0.0000 0.4966 0.8356  4 Pt 2.50-2.52, 8 Ni 2.52-2.66
Pt 0.0000 0.0002 0.3214  9 Ni 2.48-2.65, 3 Pt 2.63-2.64
Pt 0.0000 0.0025 0.6618  5 Ni 2.62-2.64, 7 Pt 2.63-2.70
Pt 0.5000 0.7336 0.7491  8 Ni 2.50-2.65, 4 Pt 2.64-2.70
Pt 0.5000 0.2637 0.9332  8 Ni 2.51-2.73, 4 Pt 2.64-2.69

***

(6)
Material: Li2SbBr
Method: DFT, GGA-PBEsol
State: relaxed

Calculated values
* energy relative to the elements, uncorrected: -0.628 eV/atom
* calculated total energy: -12.87 eV per formula unit
* SG: Pm
* energy above the lowest structure with this stoichiometry: 222 meV per atom

Cell lengths 3.2650, 4.4155, 6.1677 Å; angles 90.00, 90.00, 89.98 degrees
Closest atoms and distances in Å follow each position.
Element x y z (fractional)
Sb 0.5162 0.3746 0.0000  4 Li 2.72-2.77
Br 0.2159 0.8746 0.5000  4 Li 2.70-2.80
Li 0.0289 0.8746 0.0000  4 Sb 2.72-2.77
Li 0.7390 0.3762 0.5000  4 Br 2.70-2.80

***

(7)
Material: MgFeMo
Method: DFT, GGA-PBEsol
State: relaxed

Calculated values
* calculated total energy: -21.25 eV per formula unit
* SG: P3m1

Cell lengths 2.7615, 2.7615, 6.6084 Å; angles 90.00, 90.00, 120.00 degrees
Closest atoms and distances in Å follow each position.
Element x y z (fractional)
Fe 0.0000 0.0000 0.0167  3 Mo 2.46, 3 Mg 2.72
Mg 0.3333 0.6667 0.6839  3 Fe 2.72, 6 Mg 2.76, 3 Mo 3.00
Mo 0.6667 0.3333 0.2994  3 Fe 2.46

***

(8)
Material: Hg3BO
Method: DFT, GGA-PBEsol
State: relaxed

Calculated values
* energy relative to the elements, uncorrected: 0.601 eV/atom
* calculated total energy: -10.96 eV per formula unit
* SG: Pm-3m

Cell lengths 4.4690, 4.4690, 4.4690 Å; angles 90.00, 90.00, 90.00 degrees
Closest atoms and distances in Å follow each position.
Element x y z (fractional)
B 0.0000 0.0000 0.0000  6 Hg 2.23
Hg 0.0000 0.5000 0.0000  2 B 2.23
Hg 0.0000 0.0000 0.5000  2 B 2.23
Hg 0.5000 0.0000 0.0000  2 B 2.23
O 0.5000 0.5000 0.5000  12 Hg 3.16